Arrangement A

This record from the Alexandria database describes a geometry-optimized CuSnRu structure. The functional is PBE-GGA.

**Space group**: P3m1, No. 156
**Theoretical density**: 9.905 Mg/m³

Cell: 3.002 4.274 4.274 Å, 120.00 90.00 90.00°
Fractional positions:
Ru 0.327 0.333 0.667
Cu 0.925 0.000 0.000
Sn 0.747 0.667 0.333

Arrangement B

This record from the Alexandria database describes a geometry-optimized CuSnRu structure. The functional is PBE-GGA.

**Space group**: I4mm, No. 107
**Theoretical density**: 9.966 Mg/m³

Cell: 3.340 3.340 4.845 Å, 110.16 110.16 90.00°
Fractional positions:
Cu 0.620 0.620 0.239
Sn 0.949 0.949 0.898
Ru 0.281 0.281 0.563

The computed energies, referenced to the most stable structure and given in meV/atom, are arrangement A 29; arrangement B 0.

Arrangement A

This record from the Alexandria database describes a geometry-optimized SrCu2Ru structure. The functional is PBE-GGA.

**Space group**: I-4m2, No. 119
**Theoretical density**: 7.421 Mg/m³

Cell: 5.187 5.187 5.187 Å, 134.16 134.16 66.83°
Site moments in Bohr magnetons follow the coordinates.
Fractional positions:
Ru 0.500 0.500 0.000  0.10
Cu 0.250 0.750 0.500  0.00
Sr 0.750 0.250 0.500  0.00
Cu 0.000 0.000 0.000  0.00

Arrangement B

This record from the Alexandria database describes a geometry-optimized SrCu2Ru structure. The functional is PBE-GGA.

**Space group**: Imm2, No. 44
**Theoretical density**: 7.392 Mg/m³

Cell: 5.495 5.495 5.495 Å, 146.79 127.92 63.18°
Site moments in Bohr magnetons follow the coordinates.
Fractional positions:
Cu 0.968 0.968 0.000  0.03
Ru 0.530 0.530 0.000  0.84
Cu 0.755 0.255 0.500  0.03
Sr 0.247 0.747 0.500  -0.01

The computed energies, referenced to the most stable structure and given in meV/atom, are arrangement A 51; arrangement B 0.

Arrangement A

This record from the Alexandria database describes a geometry-optimized SrCu2Ru structure. The functional is PBE-GGA.

**Space group**: R-3m, No. 166
**Theoretical density**: 6.392 Mg/m³

Cell: 4.261 4.261 5.769 Å, 68.31 68.31 59.99°
Fractional positions:
Cu 0.058 0.058 0.827
Sr 0.250 0.250 0.250
Cu 0.442 0.442 0.673
Ru 0.750 0.750 0.750

Arrangement B

This record from the Alexandria database describes a geometry-optimized SrCu2Ru structure. The functional is PBE-GGA.

**Space group**: P4/mmm, No. 123
**Theoretical density**: 7.227 Mg/m³

Cell: 3.327 3.319 6.570 Å, 90.00 90.00 90.00°
Fractional positions:
Cu 0.000 0.000 0.430
Cu 0.000 0.000 0.070
Sr 0.500 0.500 0.750
Ru 0.500 0.500 0.250

The computed energies, referenced to the most stable structure and given in meV/atom, are arrangement A 0; arrangement B 207.

Arrangement A

This record from the Alexandria database describes a geometry-optimized SrCu2Ru structure. The functional is PBE-GGA.

**Space group**: P4mm, No. 99
**Theoretical density**: 7.247 Mg/m³

Cell: 3.189 3.189 7.116 Å, 90.00 90.00 90.00°
Site moments in Bohr magnetons follow the coordinates.
Fractional positions:
Cu 0.500 0.500 0.242  0.13
Ru 0.000 0.000 0.434  1.07
Sr 0.500 0.500 0.749  -0.02
Cu 0.000 0.000 0.075  0.02

Arrangement B

This record from the Alexandria database describes a geometry-optimized SrCu2Ru structure. The functional is PBE-GGA.

**Space group**: P4/mmm, No. 123
**Theoretical density**: 7.563 Mg/m³

Cell: 4.569 4.569 3.322 Å, 90.00 90.00 90.01°
Fractional positions:
Cu 0.500 0.500 0.000
Sr 0.000 0.500 0.500
Cu 0.000 0.000 0.000
Ru 0.500 0.000 0.500

The computed energies, referenced to the most stable structure and given in meV/atom, are arrangement A 0; arrangement B 40.